No. 1
Density functional theory data (meta-GGA SCAN) for SrTe2Mo at its PBEsol-relaxed geometry.

Properties
Distance to the lowest polymorph of the same formula: 0.2330 eV/atom
ΔE_f (raw): -350 meV/atom

Cell and atoms, written as CIF:
```
data_SrTe2Mo
_symmetry_space_group_name_H-M 'I m m 2'
_symmetry_Int_Tables_number 44
_symmetry_space_group_name_Hall 'I 2 -2'
_cell_length_a 3.586
_cell_length_b 3.869
_cell_length_c 14.828
_cell_angle_alpha 90.00
_cell_angle_beta 90.00
_cell_angle_gamma 90.00
loop_
_atom_site_label
_atom_site_type_symbol
_atom_site_fract_x
_atom_site_fract_y
_atom_site_fract_z
Sr1 Sr 0.000 0.000 0.000
Te1 Te 0.000 0.000 0.620
Te2 Te 0.000 0.500 0.829
Mo1 Mo 0.000 0.500 0.256
```

No. 2
Density functional theory data (meta-GGA SCAN) for Sr4TeMo at its PBEsol-relaxed geometry.

Properties
ΔE_f (raw): 731 meV/atom

Cell and atoms, written as CIF:
```
data_Sr4TeMo
_symmetry_space_group_name_H-M 'F -4 3 m'
_symmetry_Int_Tables_number 216
_symmetry_space_group_name_Hall 'F -4 2 3'
_cell_length_a 9.630
_cell_length_b 9.630
_cell_length_c 9.630
_cell_angle_alpha 90.00
_cell_angle_beta 90.00
_cell_angle_gamma 90.00
loop_
_atom_site_label
_atom_site_type_symbol
_atom_site_fract_x
_atom_site_fract_y
_atom_site_fract_z
Sr1 Sr 0.125 0.125 0.125
Te1 Te 0.250 0.250 0.750
Mo1 Mo 0.000 0.000 0.500
```

No. 3
Density functional theory data (meta-GGA SCAN) for SrTe2Mo at its PBEsol-relaxed geometry.

Properties
Distance to the lowest polymorph of the same formula: 0.1328 eV/atom
ΔE_f (raw): -450 meV/atom

Cell and atoms, written as CIF:
```
data_SrTe2Mo
_symmetry_space_group_name_H-M 'C 1 2/m 1'
_symmetry_Int_Tables_number 12
_symmetry_space_group_name_Hall '-C 2y'
_cell_length_a 7.960
_cell_length_b 3.826
_cell_length_c 7.018
_cell_angle_alpha 90.00
_cell_angle_beta 104.77
_cell_angle_gamma 90.00
loop_
_atom_site_label
_atom_site_type_symbol
_atom_site_fract_x
_atom_site_fract_y
_atom_site_fract_z
Sr1 Sr 0.000 0.000 0.000
Te1 Te 0.237 0.000 0.694
Mo1 Mo 0.000 0.500 0.500
```

No. 4
Density functional theory data (meta-GGA SCAN) for Sr4TlMo at its PBEsol-relaxed geometry.

Properties
E_form: 941 meV/atom

Cell and atoms, written as CIF:
```
data_Sr4TlMo
_symmetry_space_group_name_H-M 'F -4 3 m'
_symmetry_Int_Tables_number 216
_symmetry_space_group_name_Hall 'F -4 2 3'
_cell_length_a 9.550
_cell_length_b 9.550
_cell_length_c 9.550
_cell_angle_alpha 90.00
_cell_angle_beta 90.00
_cell_angle_gamma 90.00
loop_
_atom_site_label
_atom_site_type_symbol
_atom_site_fract_x
_atom_site_fract_y
_atom_site_fract_z
Sr1 Sr 0.125 0.125 0.125
Tl1 Tl 0.000 0.000 0.500
Mo1 Mo 0.250 0.250 0.750
```

No. 5
Density functional theory data (meta-GGA SCAN) for Sr2MoW at its PBEsol-relaxed geometry.

Properties
Distance to the lowest polymorph of the same formula: 0.0000 eV/atom
E_form: 841 meV/atom

Cell and atoms, written as CIF:
```
data_Sr2MoW
_symmetry_space_group_name_H-M 'I m m 2'
_symmetry_Int_Tables_number 44
_symmetry_space_group_name_Hall 'I 2 -2'
_cell_length_a 3.505
_cell_length_b 5.649
_cell_length_c 10.678
_cell_angle_alpha 90.00
_cell_angle_beta 90.00
_cell_angle_gamma 90.00
loop_
_atom_site_label
_atom_site_type_symbol
_atom_site_fract_x
_atom_site_fract_y
_atom_site_fract_z
Sr1 Sr 0.000 0.000 0.000
Sr2 Sr 0.000 0.500 0.206
Mo1 Mo 0.000 0.500 0.778
W1 W 0.000 0.000 0.428
```

No. 6
Density functional theory data (meta-GGA SCAN) for Sr2MoW at its PBEsol-relaxed geometry.

Properties
Distance to the lowest polymorph of the same formula: 0.5635 eV/atom
E_form: 1405 meV/atom

Cell and atoms, written as CIF:
```
data_Sr2MoW
_symmetry_space_group_name_H-M 'I m m m'
_symmetry_Int_Tables_number 71
_symmetry_space_group_name_Hall '-I 2 2'
_cell_length_a 3.983
_cell_length_b 4.021
_cell_length_c 10.802
_cell_angle_alpha 90.00
_cell_angle_beta 90.00
_cell_angle_gamma 90.00
loop_
_atom_site_label
_atom_site_type_symbol
_atom_site_fract_x
_atom_site_fract_y
_atom_site_fract_z
Sr1 Sr 0.000 0.000 0.249
Mo1 Mo 0.000 0.500 0.500
W1 W 0.000 0.500 0.000
```

No. 7
Density functional theory data (meta-GGA SCAN) for SrYMo2 at its PBEsol-relaxed geometry.

Properties
Distance to the lowest polymorph of the same formula: 0.2024 eV/atom
E_form: 1192 meV/atom

Cell and atoms, written as CIF:
```
data_SrYMo2
_symmetry_space_group_name_H-M 'R -3 m'
_symmetry_Int_Tables_number 166
_symmetry_space_group_name_Hall '-R 3 2"'
_cell_length_a 3.0705
_cell_length_b 3.0705
_cell_length_c 31.2764
_cell_angle_alpha 90.00
_cell_angle_beta 90.00
_cell_angle_gamma 120.00
loop_
_atom_site_label
_atom_site_type_symbol
_atom_site_fract_x
_atom_site_fract_y
_atom_site_fract_z
Sr1 Sr 0.0000 0.0000 0.0000
Y1 Y 0.0000 0.0000 0.5000
Mo1 Mo 0.0000 0.0000 0.2462
```

No. 8
Density functional theory data (meta-GGA SCAN) for SrY2Mo at its PBEsol-relaxed geometry.

Properties
Distance to the lowest polymorph of the same formula: 0.0576 eV/atom
E_form: 668 meV/atom

Cell and atoms, written as CIF:
```
data_SrY2Mo
_symmetry_space_group_name_H-M 'C 1 m 1'
_symmetry_Int_Tables_number 8
_symmetry_space_group_name_Hall 'C -2y'
_cell_length_a 10.027
_cell_length_b 3.295
_cell_length_c 7.121
_cell_angle_alpha 90.00
_cell_angle_beta 93.95
_cell_angle_gamma 90.00
loop_
_atom_site_label
_atom_site_type_symbol
_atom_site_fract_x
_atom_site_fract_y
_atom_site_fract_z
Sr1 Sr 0.000 0.000 0.000
Y1 Y 0.016 0.500 0.575
Y2 Y 0.263 0.500 0.338
Mo1 Mo 0.255 0.000 0.689
```

No. 9
Density functional theory data (meta-GGA SCAN) for SrYMo2 at its PBEsol-relaxed geometry.

Properties
Distance to the lowest polymorph of the same formula: 0.0000 eV/atom
E_form: 990 meV/atom

Cell and atoms, written as CIF:
```
data_SrYMo2
_symmetry_space_group_name_H-M 'C m m m'
_symmetry_Int_Tables_number 65
_symmetry_space_group_name_Hall '-C 2 2'
_cell_length_a 4.038
_cell_length_b 4.062
_cell_length_c 10.261
_cell_angle_alpha 90.00
_cell_angle_beta 90.00
_cell_angle_gamma 90.00
loop_
_atom_site_label
_atom_site_type_symbol
_atom_site_fract_x
_atom_site_fract_y
_atom_site_fract_z
Sr1 Sr 0.000 0.000 0.000
Y1 Y 0.000 0.000 0.500
Mo1 Mo 0.000 0.500 0.264
```

No. 10
Density functional theory data (meta-GGA SCAN) for SrY2Mo at its PBEsol-relaxed geometry.

Properties
Distance to the lowest polymorph of the same formula: 0.1447 eV/atom
E_form: 756 meV/atom

Cell and atoms, written as CIF:
```
data_SrY2Mo
_symmetry_space_group_name_H-M 'I -4 m 2'
_symmetry_Int_Tables_number 119
_symmetry_space_group_name_Hall 'I -4 -2'
_cell_length_a 4.717
_cell_length_b 4.717
_cell_length_c 9.447
_cell_angle_alpha 90.00
_cell_angle_beta 90.00
_cell_angle_gamma 90.00
loop_
_atom_site_label
_atom_site_type_symbol
_atom_site_fract_x
_atom_site_fract_y
_atom_site_fract_z
Sr1 Sr 0.000 0.000 0.000
Y1 Y 0.000 0.000 0.500
Y2 Y 0.000 0.500 0.250
Mo1 Mo 0.000 0.500 0.750
```

No. 11
Density functional theory data (meta-GGA SCAN) for SrY2Mo at its PBEsol-relaxed geometry.

Properties
Distance to the lowest polymorph of the same formula: 0.0000 eV/atom
E_form: 611 meV/atom

Cell and atoms, written as CIF:
```
data_SrY2Mo
_symmetry_space_group_name_H-M 'A m m 2'
_symmetry_Int_Tables_number 38
_symmetry_space_group_name_Hall 'A 2 -2'
_cell_length_a 5.112
_cell_length_b 3.406
_cell_length_c 13.383
_cell_angle_alpha 90.00
_cell_angle_beta 90.00
_cell_angle_gamma 90.00
loop_
_atom_site_label
_atom_site_type_symbol
_atom_site_fract_x
_atom_site_fract_y
_atom_site_fract_z
Sr1 Sr 0.000 0.000 0.000
Y1 Y 0.000 0.000 0.279
Y2 Y 0.500 0.000 0.676
Mo1 Mo 0.500 0.000 0.359
```

No. 12
Density functional theory data (meta-GGA SCAN) for SrZrMo at its PBEsol-relaxed geometry.

Properties
Distance to the lowest polymorph of the same formula: 0.3286 eV/atom
E_form: 884 meV/atom

Cell and atoms, written as CIF:
```
data_SrZrMo
_symmetry_space_group_name_H-M 'P -6 m 2'
_symmetry_Int_Tables_number 187
_symmetry_space_group_name_Hall 'P -6 2'
_cell_length_a 5.0237
_cell_length_b 5.0237
_cell_length_c 3.1114
_cell_angle_alpha 90.00
_cell_angle_beta 90.00
_cell_angle_gamma 120.00
loop_
_atom_site_label
_atom_site_type_symbol
_atom_site_fract_x
_atom_site_fract_y
_atom_site_fract_z
Sr1 Sr 0.0000 0.0000 0.0000
Zr1 Zr 0.3333 0.6667 0.5000
Mo1 Mo 0.6667 0.3333 0.5000
```

Calculated values (Å³ per cell) of calculated volume for the records, taken in order: 206 893 207 871 211 173 255 235 168 210 233 68.
Calculated values (eV/cell) of E for the records, taken in order: -266.124 -627.411 -266.926 -762.804 -291.518 -287.010 -345.358 -220.345 -231.858 -219.649 -220.806 -85.208.